First-principles (PBE) data for an optimized crystal structure of Ac2AgPtO5, as listed in Alexandria via LeMat-Bulk.

Cell and atoms, written as extended XYZ:
```
18
Lattice="5.770 0.000 0.000 0.000 7.318 0.000 0.000 0.000 7.318" Properties=species:S:1:pos:R:3 pbc="T T T"
Ac 2.885 5.995 4.981
Ac 2.885 2.336 5.995
Ac 2.885 1.323 2.336
Ac 2.885 4.981 1.323
O 1.436 2.702 0.957
O 4.335 4.616 6.360
O 4.335 6.360 2.702
O 1.436 6.360 2.702
O 1.436 4.616 6.360
O 1.436 0.957 4.616
O 2.885 0.000 0.000
O 4.335 0.957 4.616
O 4.335 2.702 0.957
O 2.885 3.659 3.659
Pt 0.000 0.000 3.659
Pt 0.000 3.659 0.000
Ag 0.000 3.659 3.659
Ag 0.000 0.000 0.000
```

E_form (uncorrected) ... -1.886 eV per atom
Total energy ... -6.54 eV per atom

First-principles (PBE) data for an optimized crystal structure of Ac3Ag3PtO8, as listed in Alexandria via LeMat-Bulk.

Cell and atoms, written as extended XYZ:
```
15
Lattice="7.461 0.000 0.000 -3.730 6.458 -0.024 0.000 -4.290 5.476" Properties=species:S:1:pos:R:3 pbc="T T T"
O -2.177 3.421 3.827
O 3.730 0.012 3.801
O 0.000 2.156 1.651
O 1.553 -1.254 1.624
O 0.000 -0.348 3.840
O 5.908 -1.254 1.624
O 3.730 2.515 1.611
O 2.177 3.421 3.827
Pt 0.000 -2.145 2.738
Ac 3.730 -2.145 2.738
Ac -1.865 1.084 2.726
Ac 1.865 1.084 2.726
Ag -1.865 3.229 -0.012
Ag 1.865 3.229 -0.012
Ag 0.000 0.000 0.000
```

E_form (uncorrected) ... -1.600 eV per atom
Total energy ... -6.04 eV per atom

First-principles (PBE) data for an optimized crystal structure of Ac2Ag2PtO6, as listed in Alexandria via LeMat-Bulk.

Cell and atoms, written as extended XYZ:
```
11
Lattice="-5.985 1.790 -1.502 1.832 -6.158 -0.020 -1.913 -0.794 5.834" Properties=species:S:1:pos:R:3 pbc="T T T"
Pt -0.957 -0.397 2.917
Ag -4.941 0.729 -1.304
Ag 0.788 -5.097 -0.218
Ac -1.773 -3.863 2.395
Ac -4.294 -1.299 1.917
O 0.615 -4.770 1.843
O -5.003 0.942 0.778
O -1.064 -6.105 3.534
O -1.915 -1.600 1.521
O -6.681 -0.393 2.469
O -4.151 -3.563 2.791
```

E_form (uncorrected) ... -1.586 eV per atom
Total energy ... -6.11 eV per atom

First-principles (PBE) data for an optimized crystal structure of AcPuAgO6, as listed in Alexandria via LeMat-Bulk.

Cell and atoms, written as extended XYZ:
```
9
Lattice="-1.802 -1.376 4.198 -2.360 -5.049 -2.668 5.693 -0.147 2.396" Properties=species:S:1:pos:R:3 pbc="T T T"
O -2.106 -6.042 1.020
O 1.270 -5.503 0.260
O -1.909 -2.390 2.301
O 1.095 -4.785 2.806
O 0.376 -1.823 1.083
O -2.187 -4.075 -0.756
Pu -0.901 -0.688 2.099
Ac -0.577 -4.103 1.119
Ag 3.009 -1.781 0.708
```

E_form (uncorrected) ... -1.971 eV per atom
Total energy ... -7.64 eV per atom

First-principles (PBE) data for an optimized crystal structure of AcPu2AgO8, as listed in Alexandria via LeMat-Bulk.

Cell and atoms, written as extended XYZ:
```
12
Lattice="6.603 0.386 0.000 -2.583 6.089 0.000 -2.010 -3.238 5.406" Properties=species:S:1:pos:R:3 pbc="T T T"
Pu 3.302 0.193 2.703
Pu 2.010 3.238 0.000
O 4.871 0.840 1.711
O 3.186 1.886 3.695
O 1.733 -0.454 1.711
O 3.577 3.973 0.943
O -0.036 1.730 4.463
O 3.417 -1.500 3.695
O 0.036 -1.730 4.463
O 0.443 2.502 0.943
Ag -1.291 3.045 2.703
Ac 0.000 0.000 0.000
```

E_form (uncorrected) ... -1.982 eV per atom
Total energy ... -8.26 eV per atom

First-principles (PBE) data for an optimized crystal structure of AcPuAg2O6, as listed in Alexandria via LeMat-Bulk.

Cell and atoms, written as extended XYZ:
```
10
Lattice="-0.415 3.402 -2.815 -4.304 -3.326 -3.385 -4.707 2.415 3.613" Properties=species:S:1:pos:R:3 pbc="T T T"
O -2.293 2.254 -1.981
O -0.090 0.742 -0.614
O -7.317 1.746 -1.854
O -4.917 3.600 0.033
O -4.558 -0.026 -0.241
O -4.693 0.400 -3.868
Ag -2.744 4.408 -0.841
Ag -2.542 1.537 -4.340
Ac -4.764 1.665 -1.640
Pu -0.295 2.421 -2.003
```

E_form (uncorrected) ... -1.719 eV per atom
Total energy ... -7.11 eV per atom